# ScMo5 PBE relaxed
# DOS at the Fermi energy: 10.59 states/eV/cell
# Size of the total moment: 0.00 Bohr magnetons per cell
# Energy relative to the elements: 0.050 eV per atom
data_ScMo5
_space_group_name_H-M_alt 'C m m m'
_space_group_IT_number 65
_space_group_name_Hall '-C 2 2'
_cell_length_a 4.579
_cell_length_b 13.516
_cell_length_c 3.179
_cell_angle_alpha 90.00
_cell_angle_beta 90.00
_cell_angle_gamma 90.00
loop_
_atom_site_label
_atom_site_type_symbol
_atom_site_fract_x
_atom_site_fract_y
_atom_site_fract_z
Sc1 Sc 0.000 0.000 0.000
Mo1 Mo 0.000 0.174 0.500
Mo2 Mo 0.000 0.334 0.000
Mo3 Mo 0.000 0.500 0.500

***

# Tb2PmHo6Th PBE relaxed
# DOS at the Fermi energy: 61.23 states/eV/cell
# Size of the total moment: 0.00 Bohr magnetons per cell
# Energy relative to the elements: 0.146 eV per atom
data_Tb2PmHo6Th
_space_group_name_H-M_alt 'C 1 2/c 1'
_space_group_IT_number 15
_space_group_name_Hall '-C 2yc'
_cell_length_a 9.063
_cell_length_b 14.900
_cell_length_c 9.659
_cell_angle_alpha 90.00
_cell_angle_beta 98.59
_cell_angle_gamma 90.00
loop_
_atom_site_label
_atom_site_type_symbol
_atom_site_fract_x
_atom_site_fract_y
_atom_site_fract_z
Tb1 Tb 0.241 0.050 0.045
Pm1 Pm 0.000 0.022 0.750
Ho1 Ho 0.068 0.189 0.440
Ho2 Ho 0.097 0.396 0.619
Ho3 Ho 0.201 0.226 0.817
Th1 Th 0.000 0.405 0.250

***

# Ac3NiSn3 PBE relaxed
# DOS at the Fermi energy: 29.08 states/eV/cell
# Size of the total moment: 0.86 Bohr magnetons per cell
# Energy relative to the elements: -0.619 eV per atom
data_Ac3NiSn3
_space_group_name_H-M_alt 'C 1 2/m 1'
_space_group_IT_number 12
_space_group_name_Hall '-C 2y'
_cell_length_a 12.158
_cell_length_b 4.763
_cell_length_c 16.007
_cell_angle_alpha 90.00
_cell_angle_beta 110.27
_cell_angle_gamma 90.00
loop_
_atom_site_label
_atom_site_type_symbol
_atom_site_fract_x
_atom_site_fract_y
_atom_site_fract_z
Ac1 Ac 0.025 0.000 0.387
Ac2 Ac 0.097 0.000 0.918
Ac3 Ac 0.248 0.500 0.762
Ni1 Ni 0.244 0.500 0.393
Sn1 Sn 0.049 0.500 0.244
Sn2 Sn 0.122 0.500 0.077
Sn3 Sn 0.166 0.500 0.538

***

# ScCrIn2 PBE relaxed
# DOS at the Fermi energy: 10.98 states/eV/cell
# Size of the total moment: 17.55 Bohr magnetons per cell
# Energy relative to the elements: 0.165 eV per atom
data_ScCrIn2
_space_group_name_H-M_alt 'F -4 3 m'
_space_group_IT_number 216
_space_group_name_Hall 'F -4 2 3'
_cell_length_a 7.004
_cell_length_b 7.004
_cell_length_c 7.004
_cell_angle_alpha 90.00
_cell_angle_beta 90.00
_cell_angle_gamma 90.00
loop_
_atom_site_label
_atom_site_type_symbol
_atom_site_fract_x
_atom_site_fract_y
_atom_site_fract_z
Sc1 Sc 0.000 0.000 0.000
Cr1 Cr 0.250 0.250 0.750
In1 In 0.000 0.000 0.500
In2 In 0.250 0.250 0.250

***

Question: Number 4 is which compound?
Answer: ScCrIn2

***

Question: What is the size of the total moment in the third record?
Answer: 0.86 Bohr magnetons per cell